(1)
VASP calculation (PBEsol) on a relaxed structure of Cr3Au.

abc: 3.0374 3.0374 5.5520
angles: 90.00 90.00 90.00
Last column: nearest neighbours and their distance in Å.
Space group P4/mmm (No. 123)
Inequivalent atoms, fractional coordinates:
Cr (0.0000, 0.0000, 0.0000) [1 per cell]  8 Cr 2.41
Cr (0.5000, 0.5000, 0.1983) [2 per cell]  5 Cr 2.20-2.41
Au (0.0000, 0.0000, 0.5000) [1 per cell]  10 Cr 2.72-2.78, 4 Au 3.04

(2)
VASP calculation (PBEsol) on a relaxed structure of CrAu5.

abc: 10.4005 3.0527 6.6055
angles: 90.00 107.83 90.00
Last column: nearest neighbours and their distance in Å.
Space group Cm (No. 8)
Inequivalent atoms, fractional coordinates:
Cr (0.0000, 0.0000, 0.0000) [2 per cell]  10 Au 2.75-2.96, 2 Cr 3.05
Au (0.1244, 0.5000, 0.7606) [2 per cell]  2 Cr 2.79, 10 Au 2.79-3.05
Au (0.1639, 0.5000, 0.3257) [2 per cell]  2 Cr 2.76, 10 Au 2.81-3.05
Au (0.2966, 0.0000, 0.0853) [2 per cell]  9 Au 2.79-3.05, 3 Cr 2.80-2.96
Au (0.3379, 0.0000, 0.6743) [2 per cell]  2 Cr 2.75, 10 Au 2.86-3.05
Au (0.4613, 0.5000, 0.4171) [2 per cell]  11 Au 2.79-3.05, 1 Cr 2.90

(3)
VASP calculation (PBEsol) on a relaxed structure of CrAu7.

abc: 8.1111 8.1111 8.1111
angles: 90.00 90.00 90.00
Last column: nearest neighbours and their distance in Å.
Space group Fm-3m (No. 225)
Inequivalent atoms, fractional coordinates:
Cr (0.0000, 0.0000, 0.0000) [4 per cell]  12 Au 2.87
Au (0.0000, 0.0000, 0.5000) [4 per cell]  12 Au 2.87
Au (0.0000, 0.2500, 0.2500) [24 per cell]  10 Au 2.87, 2 Cr 2.87

(4)
VASP calculation (PBEsol) on a relaxed structure of CrAu5.

abc: 4.6664 2.9822 14.3445
angles: 90.00 90.00 90.00
Last column: nearest neighbours and their distance in Å.
Space group Amm2 (No. 38)
Inequivalent atoms, fractional coordinates:
Cr (0.0000, 0.0000, 0.0000) [2 per cell]  10 Au 2.76-2.87, 2 Cr 2.98
Au (0.0000, 0.0000, 0.3380) [2 per cell]  2 Cr 2.76, 10 Au 2.85-2.98
Au (0.0000, 0.0000, 0.6629) [2 per cell]  2 Cr 2.77, 10 Au 2.85-2.98
Au (0.5000, 0.0000, 0.1160) [2 per cell]  10 Au 2.79-2.98, 2 Cr 2.87
Au (0.5000, 0.0000, 0.4519) [2 per cell]  8 Au 2.79-2.98, 4 Cr 2.85
Au (0.5000, 0.0000, 0.7841) [2 per cell]  12 Au 2.83-2.98

(5)
VASP calculation (PBEsol) on a relaxed structure of CrAu8.

abc: 8.6169 8.6169 4.0410
angles: 90.00 90.00 90.00
Last column: nearest neighbours and their distance in Å.
Space group I4/mmm (No. 139)
Inequivalent atoms, fractional coordinates:
Cr (0.0000, 0.0000, 0.0000) [2 per cell]  12 Au 2.84-2.85
Au (0.0000, 0.3304, 0.0000) [8 per cell]  1 Cr 2.85, 11 Au 2.85-2.92
Au (0.1634, 0.1634, 0.5000) [8 per cell]  10 Au 2.82-2.92, 2 Cr 2.84

(6)
VASP calculation (PBEsol) on a relaxed structure of CsCrAu3.

abc: 5.6971 5.6971 5.6971
angles: 90.00 90.00 90.00
Last column: nearest neighbours and their distance in Å.
Space group Pm-3m (No. 221)
Inequivalent atoms, fractional coordinates:
Cs (0.0000, 0.0000, 0.0000) [1 per cell]  6 Au 2.85
Cr (0.5000, 0.5000, 0.5000) [1 per cell]  12 Au 4.03
Au (0.0000, 0.0000, 0.5000) [3 per cell]  2 Cs 2.85

| no. | formation energy (eV/atom) |
| --- | --- |
| 1 | 0.27 |
| 2 | 0.10 |
| 3 | 0.06 |
| 4 | 0.10 |
| 5 | 0.03 |
| 6 | 1.90 |